16
Lattice="4.167 0.000 0.000 0.000 9.102 0.000 0.000 0.000 12.369" Properties=species:S:1:pos:R:3 comment="Pr5RhAu2, relaxed, DFT PBE-GGA" dos_ef_per_ev_fu=8.064 formation_energy_kj_per_mol_atoms=-56 space_group="Pbam, No. 55" dft_energy_ev_per_atom=-5.31 pbc="T T T"
Au 2.084 0.643 3.985
Au 2.084 3.908 10.169
Au 2.084 8.459 8.384
Au 2.084 5.194 2.200
Pr 0.000 1.321 9.859
Pr 2.084 1.649 0.998
Pr 0.000 0.000 6.184
Pr 0.000 3.230 3.675
Pr 0.000 7.781 2.510
Pr 2.084 7.453 11.371
Pr 2.084 2.902 7.182
Pr 2.084 6.200 5.187
Pr 0.000 4.551 0.000
Pr 0.000 5.872 8.694
Rh 0.000 4.551 6.184
Rh 0.000 0.000 0.000